Compound: YAl
Source: Alexandria
Functional: PBE-GGA
Structure: relaxed

Output
Symmetry ... Pbcm, No. 57
E_form ... -440.0 meV/atom

a b c (Å): 5.631 5.863 11.459
angles (deg): 90.00 90.00 90.00
Element x y z (fractional)
1 Y 0.750 0.161 0.483
2 Y 0.250 0.601 0.832
3 Y 0.250 0.161 0.017
4 Y 0.250 0.839 0.517
5 Y 0.750 0.601 0.668
6 Y 0.250 0.399 0.332
7 Y 0.750 0.839 0.983
8 Y 0.750 0.399 0.168
9 Al 0.500 0.070 0.750
10 Al 0.500 0.930 0.250
11 Al 0.000 0.070 0.750
12 Al 0.750 0.340 0.902
13 Al 0.000 0.930 0.250
14 Al 0.750 0.660 0.402
15 Al 0.250 0.660 0.098
16 Al 0.250 0.340 0.598

***

Compound: SrPmRh
Source: Alexandria
Functional: PBE-GGA
Structure: relaxed

Output
Symmetry ... I4mm, No. 107
E_form ... -350.8 meV/atom

a b c (Å): 3.609 3.609 7.356
angles (deg): 104.20 104.20 90.00
Element x y z (fractional)
1 Sr 0.033 0.033 0.066
2 Pm 0.285 0.285 0.570
3 Rh 0.682 0.682 0.364

***

Compound: La3SbP
Source: Alexandria
Functional: PBE-GGA
Structure: relaxed

Output
Raw formation energy ... -1.077 eV per atom
Symmetry ... Cmmm, No. 65

a b c (Å): 4.356 8.851 8.854
angles (deg): 74.05 90.00 90.00
Each line ends with the local moment (μB).
Element x y z (fractional)
1 La 0.863 0.630 0.057  0.09
2 La 0.863 0.758 0.436  0.09
3 La 0.363 0.365 0.417  0.09
4 La 0.864 0.004 0.683  0.09
5 La 0.864 0.384 0.810  0.09
6 La 0.363 0.024 0.076  0.09
7 P 0.364 0.194 0.746  0.00
8 P 0.363 0.694 0.246  0.00
9 Sb 0.363 0.694 0.746  -0.01
10 Sb 0.863 0.194 0.246  0.00